An optimized crystal structure of LiCoHg2F6, computed with PBE with a Hubbard U.

Cell: 5.390 4.558 11.569 Å, 90.00 96.08 90.00°
Fractional positions:
Li1 0.000 0.000 0.000
Li2 0.000 0.500 0.500
Co1 0.500 0.000 0.500
Co2 0.500 0.500 0.000
Hg1 0.159 0.037 0.740
Hg2 0.159 0.463 0.240
Hg3 0.841 0.537 0.760
Hg4 0.841 0.963 0.260
F1 0.231 0.725 0.936
F2 0.231 0.775 0.436
F3 0.275 0.242 0.056
F4 0.275 0.258 0.556
F5 0.497 0.690 0.147
F6 0.497 0.810 0.647
F7 0.503 0.190 0.353
F8 0.503 0.310 0.853
F9 0.725 0.742 0.444
F10 0.725 0.758 0.944
F11 0.769 0.225 0.564
F12 0.769 0.275 0.064

Output
Raw total energy = -3.59 eV per atom
Symmetry = No. 14